Entry 1:
NdSmCo2Si2: relaxed, PBE.

CIF file:
```
data_NdSmCo2Si2
_cell_length_a 4.005
_cell_length_b 4.005
_cell_length_c 6.966
_cell_angle_alpha 90.00
_cell_angle_beta 90.00
_cell_angle_gamma 90.00
_symmetry_space_group_name_H-M 'P 1'
_symmetry_Int_Tables_number 1
loop_
_symmetry_equiv_pos_as_xyz
'x,y,z'
loop_
_atom_site_label
_atom_site_fract_x
_atom_site_fract_y
_atom_site_fract_z
_atom_site_occupancy
Co1 0.500 0.000 0.998 1
Co2 0.000 0.500 0.998 1
Nd1 0.000 0.000 0.318 1
Si1 0.500 0.500 0.169 1
Si2 0.000 0.000 0.827 1
Sm1 0.500 0.500 0.688 1
```

Values from the calculation:
The crystal system is tetragonal. The value obtained for the total moment is 0.58 μB/f.u. Its energy is -38.71 eV for the cell shown. Its space group is P4mm, No. 99.

=====

Entry 2:
SrNdCo2Si2: relaxed, PBE.

CIF file:
```
data_SrNdCo2Si2
_cell_length_a 3.996
_cell_length_b 3.996
_cell_length_c 7.341
_cell_angle_alpha 90.00
_cell_angle_beta 90.00
_cell_angle_gamma 90.00
_symmetry_space_group_name_H-M 'P 1'
_symmetry_Int_Tables_number 1
loop_
_symmetry_equiv_pos_as_xyz
'x,y,z'
loop_
_atom_site_label
_atom_site_fract_x
_atom_site_fract_y
_atom_site_fract_z
_atom_site_occupancy
Co1 0.500 0.000 0.006 1
Co2 0.000 0.500 0.006 1
Nd1 0.000 0.000 0.311 1
Si1 0.500 0.500 0.165 1
Si2 0.000 0.000 0.843 1
Sr1 0.500 0.500 0.668 1
```

Values from the calculation:
The crystal system is tetragonal. The value obtained for the total moment is 0.00 μB/f.u. Its energy is -34.69 eV for the cell shown. Its space group is P4mm, No. 99.

=====

Entry 3:
NdYCo2Si4: relaxed, PBE.

CIF file:
```
data_NdYCo2Si4
_cell_length_a 4.005
_cell_length_b 8.401
_cell_length_c 8.401
_cell_angle_alpha 28.11
_cell_angle_beta 90.00
_cell_angle_gamma 90.00
_symmetry_space_group_name_H-M 'P 1'
_symmetry_Int_Tables_number 1
loop_
_symmetry_equiv_pos_as_xyz
'x,y,z'
loop_
_atom_site_label
_atom_site_fract_x
_atom_site_fract_y
_atom_site_fract_z
_atom_site_occupancy
Co1 0.500 0.320 0.320 1
Co2 0.000 0.681 0.681 1
Nd1 0.500 0.107 0.107 1
Si1 0.000 0.251 0.251 1
Si2 0.500 0.456 0.456 1
Si3 0.000 0.542 0.542 1
Si4 0.500 0.752 0.752 1
Y1 0.000 0.892 0.892 1
```

Values from the calculation:
The crystal system is orthorhombic. The value obtained for the total moment is 0.00 μB/f.u. Its energy is -53.27 eV for the cell shown. Its space group is Amm2, No. 38.

=====

Entry 4:
NdYCo2Si4: relaxed, PBE.

CIF file:
```
data_NdYCo2Si4
_cell_length_a 4.274
_cell_length_b 3.993
_cell_length_c 8.041
_cell_angle_alpha 90.00
_cell_angle_beta 102.94
_cell_angle_gamma 90.00
_symmetry_space_group_name_H-M 'P 1'
_symmetry_Int_Tables_number 1
loop_
_symmetry_equiv_pos_as_xyz
'x,y,z'
loop_
_atom_site_label
_atom_site_fract_x
_atom_site_fract_y
_atom_site_fract_z
_atom_site_occupancy
Co1 0.376 0.000 0.116 1
Co2 0.629 0.500 0.886 1
Nd1 0.094 0.000 0.700 1
Si1 0.823 0.000 0.011 1
Si2 0.452 0.000 0.404 1
Si3 0.543 0.500 0.590 1
Si4 0.182 0.500 0.995 1
Y1 0.900 0.500 0.296 1
```

Values from the calculation:
The crystal system is monoclinic. The value obtained for the total moment is 0.82 μB/f.u. Its energy is -53.22 eV for the cell shown. Its space group is Pm, No. 6.

=====

Entry 5:
NdSmTlCo2: relaxed, PBE.

CIF file:
```
data_NdSmTlCo2
_cell_length_a 3.996
_cell_length_b 7.398
_cell_length_c 7.398
_cell_angle_alpha 30.57
_cell_angle_beta 90.00
_cell_angle_gamma 90.00
_symmetry_space_group_name_H-M 'P 1'
_symmetry_Int_Tables_number 1
loop_
_symmetry_equiv_pos_as_xyz
'x,y,z'
loop_
_atom_site_label
_atom_site_fract_x
_atom_site_fract_y
_atom_site_fract_z
_atom_site_occupancy
Co1 0.000 0.208 0.208 1
Co2 0.000 0.790 0.790 1
Nd1 0.500 0.362 0.362 1
Sm1 0.500 0.639 0.639 1
Tl1 0.000 0.002 0.002 1
```

Values from the calculation:
The crystal system is orthorhombic. The value obtained for the total moment is 1.41 μB/f.u. Its energy is -27.18 eV for the cell shown. Its space group is Amm2, No. 38.

=====

Entry 6:
NdCoSn: relaxed, PBE.

CIF file:
```
data_NdCoSn
_cell_length_a 4.912
_cell_length_b 4.912
_cell_length_c 4.912
_cell_angle_alpha 60.00
_cell_angle_beta 60.00
_cell_angle_gamma 60.00
_symmetry_space_group_name_H-M 'P 1'
_symmetry_Int_Tables_number 1
loop_
_symmetry_equiv_pos_as_xyz
'x,y,z'
loop_
_atom_site_label
_atom_site_fract_x
_atom_site_fract_y
_atom_site_fract_z
_atom_site_occupancy
Co1 0.250 0.250 0.250 1
Nd1 0.000 0.000 0.000 1
Sn1 0.750 0.750 0.750 1
```

Values from the calculation:
The crystal system is cubic. The value obtained for the total moment is 1.76 μB/f.u. Its energy is -14.24 eV for the cell shown. Its space group is F-43m, No. 216.

=====

Entry 7:
SrNdCo: relaxed, PBE.

CIF file:
```
data_SrNdCo
_cell_length_a 4.959
_cell_length_b 4.959
_cell_length_c 4.959
_cell_angle_alpha 60.00
_cell_angle_beta 60.00
_cell_angle_gamma 60.00
_symmetry_space_group_name_H-M 'P 1'
_symmetry_Int_Tables_number 1
loop_
_symmetry_equiv_pos_as_xyz
'x,y,z'
loop_
_atom_site_label
_atom_site_fract_x
_atom_site_fract_y
_atom_site_fract_z
_atom_site_occupancy
Co1 0.000 0.000 0.000 1
Nd1 0.250 0.250 0.250 1
Sr1 0.750 0.750 0.750 1
```

Values from the calculation:
The crystal system is cubic. The value obtained for the total moment is 0.00 μB/f.u. Its energy is -12.63 eV for the cell shown. Its space group is F-43m, No. 216.

=====

Entry 8:
NdTaCo: relaxed, PBE.

CIF file:
```
data_NdTaCo
_cell_length_a 4.493
_cell_length_b 4.493
_cell_length_c 4.493
_cell_angle_alpha 60.00
_cell_angle_beta 60.00
_cell_angle_gamma 60.00
_symmetry_space_group_name_H-M 'P 1'
_symmetry_Int_Tables_number 1
loop_
_symmetry_equiv_pos_as_xyz
'x,y,z'
loop_
_atom_site_label
_atom_site_fract_x
_atom_site_fract_y
_atom_site_fract_z
_atom_site_occupancy
Co1 0.250 0.250 0.250 1
Nd1 0.000 0.000 0.000 1
Ta1 0.750 0.750 0.750 1
```

Values from the calculation:
The crystal system is cubic. As for the formation energy: 36.3 kcal/mol of atoms. The value obtained for the total moment is 0.01 μB/f.u. Its energy is -19.00 eV for the cell shown. Its space group is F-43m, No. 216.